Entry 1:
La2RuAu | meta-GGA SCAN | PBEsol geometry

a = 4.0900 Å, b = 4.0900 Å, c = 7.5515 Å
α = 74.29°, β = 74.29°, γ = 60.00°
Fractional positions:
Ru 0.5000 0.5000 0.5000
Au 0.0000 0.0000 0.0000
La 0.2389 0.2389 0.2833
La 0.7611 0.7611 0.7167

The calculation puts the volume at 103.9 Å³ per cell. The calculated total energy comes out at -192.3 eV/cell. As for the density of states at the Fermi level: 2.197 states/eV/cell. The value obtained for the formation energy is -2.15 eV/f.u.


Entry 2:
LaRuAu2 | meta-GGA SCAN | PBEsol geometry

a = 4.2623 Å, b = 4.2644 Å, c = 5.1762 Å
α = 114.32°, β = 114.31°, γ = 90.00°
Fractional positions:
Au 0.0001 0.0002 0.0003
Au 0.2500 0.7500 0.4999
La 0.4999 0.4999 0.9998
Ru 0.7500 0.2500 0.5000

The calculation puts the volume at 76.5 Å³ per cell. The calculated total energy comes out at -217.1 eV/cell. The energy above the most stable polymorph in this dataset comes out at 178 meV/atom. As for the density of states at the Fermi level: 3.784 states/eV/cell. The value obtained for the formation energy is -0.86 eV/f.u.


Entry 3:
LaRuAu2 | meta-GGA SCAN | PBEsol geometry

a = 2.9331 Å, b = 2.9331 Å, c = 10.0707 Å
α = 81.63°, β = 81.63°, γ = 60.00°
Fractional positions:
Au 0.2595 0.2595 0.2214
Au 0.7405 0.7405 0.7786
La 0.5000 0.5000 0.5000
Ru 0.0000 0.0000 0.0000

The calculation puts the volume at 74.0 Å³ per cell. The calculated total energy comes out at -214.9 eV/cell. The energy above the most stable polymorph in this dataset comes out at 733 meV/atom. As for the density of states at the Fermi level: 3.568 states/eV/cell. The value obtained for the formation energy is 1.36 eV/f.u.


Entry 4:
LaTlRuAu2 | meta-GGA SCAN | PBEsol geometry

a = 4.6708 Å, b = 5.6181 Å, c = 5.6181 Å
α = 90.00°, β = 90.00°, γ = 90.00°
Fractional positions:
Ru 0.5000 0.0000 0.0000
Tl 0.5000 0.5000 0.5000
Au 0.0000 0.0000 0.5000
Au 0.0000 0.5000 0.0000
La 0.0000 0.0000 0.0000

The calculation puts the volume at 147.4 Å³ per cell. The calculated total energy comes out at -285.3 eV/cell. As for the density of states at the Fermi level: 2.187 states/eV/cell. The value obtained for the formation energy is 3.34 eV/f.u.


Entry 5:
LaAu3S | meta-GGA SCAN | PBEsol geometry

a = 5.5392 Å, b = 5.5392 Å, c = 5.5392 Å
α = 90.00°, β = 90.00°, γ = 90.00°
Fractional positions:
S 0.5000 0.5000 0.5000
Au 0.0000 0.5000 0.0000
Au 0.0000 0.0000 0.5000
Au 0.5000 0.0000 0.0000
La 0.0000 0.0000 0.0000

The calculation puts the volume at 170.0 Å³ per cell. As for the energy relative to the elements, uncorrected: 0.71 eV/atom. The calculated total energy comes out at -256.7 eV/cell. As for the density of states at the Fermi level: 3.584 states/eV/cell.


Entry 6:
La2SbAu2 | meta-GGA SCAN | PBEsol geometry

a = 4.1623 Å, b = 7.8515 Å, c = 7.8515 Å
α = 90.00°, β = 90.00°, γ = 90.00°
Fractional positions:
Sb 0.0000 0.0000 0.0000
Sb 0.0000 0.5000 0.5000
Au 0.0000 0.3752 0.8752
Au 0.0000 0.8752 0.6248
Au 0.0000 0.6248 0.1248
Au 0.0000 0.1248 0.3752
La 0.5000 0.1758 0.6758
La 0.5000 0.6758 0.8242
La 0.5000 0.8242 0.3242
La 0.5000 0.3242 0.1758

The calculation puts the volume at 256.6 Å³ per cell. As for the energy relative to the elements, uncorrected: -1.12 eV/atom. The calculated total energy comes out at -534.8 eV/cell. As for the density of states at the Fermi level: 4.568 states/eV/cell.


Entry 7:
La2SbAu | meta-GGA SCAN | PBEsol geometry

a = 3.9852 Å, b = 5.2496 Å, c = 5.2486 Å
α = 90.00°, β = 90.00°, γ = 90.00°
Fractional positions:
Au 0.3750 0.1220 0.5000
La 0.8749 0.1268 0.0000
La 0.8751 0.6244 0.5000
Sb 0.3750 0.6267 0.0000

The calculation puts the volume at 109.8 Å³ per cell. As for the energy relative to the elements, uncorrected: -1.06 eV/atom. The calculated total energy comes out at -196.9 eV/cell. As for the density of states at the Fermi level: 2.621 states/eV/cell.


Entry 8:
LaSbAu | meta-GGA SCAN | PBEsol geometry

a = 4.3140 Å, b = 4.5674 Å, c = 4.5674 Å
α = 120.00°, β = 90.00°, γ = 90.00°
Fractional positions:
Sb 0.2228 0.6667 0.3333
Au 0.0896 0.0000 0.0000
La 0.6876 0.3333 0.6667

The calculation puts the volume at 77.9 Å³ per cell. As for the energy relative to the elements, uncorrected: -1.16 eV/atom. The calculated total energy comes out at -153.0 eV/cell. As for the density of states at the Fermi level: 1.552 states/eV/cell.


Entry 9:
LaSbAu4 | meta-GGA SCAN | PBEsol geometry

a = 5.6190 Å, b = 5.6190 Å, c = 5.6190 Å
α = 60.00°, β = 60.00°, γ = 60.00°
Fractional positions:
Sb 0.0000 0.0000 0.0000
Au 0.3749 0.3749 0.3749
Au 0.3749 0.3749 0.8753
Au 0.8753 0.3749 0.3749
Au 0.3749 0.8753 0.3749
La 0.7500 0.7500 0.7500

The calculation puts the volume at 125.4 Å³ per cell. As for the energy relative to the elements, uncorrected: -0.56 eV/atom. The calculated total energy comes out at -360.3 eV/cell. As for the density of states at the Fermi level: 1.326 states/eV/cell.


Entry 10:
La2SbAu | meta-GGA SCAN | PBEsol geometry

a = 4.3499 Å, b = 4.5363 Å, c = 6.2187 Å
α = 90.00°, β = 110.47°, γ = 90.00°
Fractional positions:
Sb 0.5428 0.5000 0.0856
Au 0.7133 0.0000 0.4265
La 0.9819 0.0000 0.9637
La 0.2621 0.5000 0.5242

The calculation puts the volume at 115.0 Å³ per cell. As for the energy relative to the elements, uncorrected: -1.14 eV/atom. The calculated total energy comes out at -197.2 eV/cell. As for the density of states at the Fermi level: 3.479 states/eV/cell.


Entry 11:
La2SbAu3 | meta-GGA SCAN | PBEsol geometry

a = 3.7609 Å, b = 4.6556 Å, c = 8.3098 Å
α = 90.00°, β = 90.00°, γ = 90.00°
Fractional positions:
Sb 0.5000 0.0000 0.3333
Au 0.5000 0.5000 0.8355
Au 0.5000 0.5000 0.1622
Au 0.5000 0.0000 0.6670
La 0.0000 0.0000 0.9860
La 0.0000 0.5000 0.5160

The calculation puts the volume at 145.5 Å³ per cell. As for the energy relative to the elements, uncorrected: -1.08 eV/atom. The calculated total energy comes out at -337.4 eV/cell. As for the density of states at the Fermi level: 3.730 states/eV/cell.


Entry 12:
La3Sb4Au3 | meta-GGA SCAN | PBEsol geometry

a = 8.7174 Å, b = 8.7174 Å, c = 8.7174 Å
α = 109.47°, β = 109.47°, γ = 109.47°
Fractional positions:
La 0.1250 0.2500 0.3750
La 0.3750 0.7500 0.1250
La 0.7500 0.6250 0.8750
La 0.2500 0.8750 0.6250
La 0.8750 0.1250 0.7500
La 0.6250 0.3750 0.2500
Sb 0.3278 0.3278 0.8278
Sb 0.5000 0.1722 0.5000
Sb 0.0000 0.5000 0.6722
Sb 0.1722 0.0000 0.0000
Sb 0.5000 0.6722 0.5000
Sb 0.8278 0.8278 0.3278
Sb 0.0000 0.5000 0.1722
Sb 0.6722 0.0000 0.0000
Au 0.6250 0.2500 0.8750
Au 0.8750 0.7500 0.6250
Au 0.7500 0.1250 0.3750
Au 0.2500 0.3750 0.1250
Au 0.3750 0.6250 0.7500
Au 0.1250 0.8750 0.2500

The calculation puts the volume at 510.0 Å³ per cell. As for the energy relative to the elements, uncorrected: -1.17 eV/atom. The calculated total energy comes out at -995.0 eV/cell.